(1)
Crystalline PmLuNiGe at its relaxed geometry, computed with PBE.

Lattice parameters (Å, degrees): 6.993 6.993 6.993 90.00 90.00 90.00
Space group F-43m (No. 216)
Inequivalent atoms, fractional coordinates:
Pm (0.000, 0.000, 0.000)
Lu (0.000, 0.000, 0.500)
Ni (0.250, 0.250, 0.750)
Ge (0.250, 0.250, 0.250)

Output
* total moment: 0.001 μB/f.u.
* raw total energy: -86.7 eV/cell
* volume: 342.0 Å³/cell
* formation energy: -0.504 eV/atom

(2)
Crystalline LuNiGeRh at its relaxed geometry, computed with PBE.

Lattice parameters (Å, degrees): 6.305 6.305 6.305 90.00 90.00 90.00
Space group F-43m (No. 216)
Inequivalent atoms, fractional coordinates:
Lu (0.000, 0.000, 0.000)
Ni (0.250, 0.250, 0.250)
Ge (0.000, 0.000, 0.500)
Rh (0.250, 0.250, 0.750)

Output
* total moment: 0.000 μB/f.u.
* raw total energy: -98.7 eV/cell
* volume: 250.6 Å³/cell
* formation energy: -0.603 eV/atom

(3)
Crystalline LuNiGeRu at its relaxed geometry, computed with PBE.

Lattice parameters (Å, degrees): 6.276 6.276 6.276 90.00 90.00 90.00
Space group F-43m (No. 216)
Inequivalent atoms, fractional coordinates:
Lu (0.000, 0.000, 0.000)
Ni (0.250, 0.250, 0.250)
Ge (0.000, 0.000, 0.500)
Ru (0.250, 0.250, 0.750)

Output
* total moment: 0.000 μB/f.u.
* raw total energy: -103.1 eV/cell
* volume: 247.2 Å³/cell
* formation energy: -0.396 eV/atom

(4)
Crystalline LuScNiGe at its relaxed geometry, computed with PBE.

Lattice parameters (Å, degrees): 6.668 6.668 6.668 90.00 90.00 90.00
Space group F-43m (No. 216)
Inequivalent atoms, fractional coordinates:
Lu (0.000, 0.000, 0.000)
Sc (0.000, 0.000, 0.500)
Ni (0.250, 0.250, 0.750)
Ge (0.250, 0.250, 0.250)

Output
* total moment: 0.000 μB/f.u.
* raw total energy: -94.3 eV/cell
* volume: 296.4 Å³/cell
* formation energy: -0.583 eV/atom

(5)
Crystalline TbLuNiGe at its relaxed geometry, computed with PBE.

Lattice parameters (Å, degrees): 6.904 6.904 6.904 90.00 90.00 90.00
Space group F-43m (No. 216)
Inequivalent atoms, fractional coordinates:
Tb (0.000, 0.000, 0.000)
Lu (0.000, 0.000, 0.500)
Ni (0.250, 0.250, 0.750)
Ge (0.250, 0.250, 0.250)

Output
* total moment: 0.000 μB/f.u.
* raw total energy: -87.0 eV/cell
* volume: 329.1 Å³/cell
* formation energy: -0.550 eV/atom

(6)
Crystalline YLuNiGe at its relaxed geometry, computed with PBE.

Lattice parameters (Å, degrees): 6.898 6.898 6.898 90.00 90.00 90.00
Space group F-43m (No. 216)
Inequivalent atoms, fractional coordinates:
Y (0.000, 0.000, 0.000)
Lu (0.000, 0.000, 0.500)
Ni (0.250, 0.250, 0.250)
Ge (0.250, 0.250, 0.750)

Output
* total moment: 0.000 μB/f.u.
* raw total energy: -94.5 eV/cell
* volume: 328.2 Å³/cell
* formation energy: -0.557 eV/atom

(7)
Crystalline Lu6Ge4O17 at its relaxed geometry, computed with PBE.

Lattice parameters (Å, degrees): 10.937 6.898 10.578 90.00 111.45 90.00
Space group P2/c (No. 13)
Inequivalent atoms, fractional coordinates:
Lu (0.049, 0.247, 0.477)
Lu (0.169, 0.093, 0.807)
Lu (0.427, 0.339, 0.073)
Ge (0.224, 0.424, 0.271)
Ge (0.382, 0.139, 0.603)
O (0.014, 0.076, 0.887)
O (0.098, 0.475, 0.112)
O (0.157, 0.223, 0.331)
O (0.239, 0.175, 0.639)
O (0.243, 0.385, 0.888)
O (0.353, 0.055, 0.988)
O (0.372, 0.358, 0.251)
O (0.444, 0.345, 0.550)
O (0.500, 0.030, 0.750)

Output
* total moment: 0.000 μB/f.u.
* raw total energy: -413.8 eV/cell
* volume: 742.7 Å³/cell
* energy relative to the elements, uncorrected: -7433 kJ/mol of formula units

(8)
Crystalline LuGeO2 at its relaxed geometry, computed with PBE.

Lattice parameters (Å, degrees): 3.4265 3.4265 19.1928 90.00 90.00 120.00
Space group R-3m (No. 166, hexagonal axes)
Inequivalent atoms, fractional coordinates:
Lu (0.0000, 0.0000, 0.0000)
Ge (0.0000, 0.0000, 0.5000)
O (0.0000, 0.0000, 0.1105)

Output
* total moment: 0.000 μB/f.u.
* raw total energy: -72.6 eV/cell
* volume: 195.1 Å³/cell
* energy relative to the elements, uncorrected: -496 kJ/mol of formula units

(9)
Crystalline Lu2Ge2O7 at its relaxed geometry, computed with PBE.

Lattice parameters (Å, degrees): 6.762 6.762 12.282 90.00 90.00 90.00
Space group P4_12_12 (No. 92)
Inequivalent atoms, fractional coordinates:
Lu (0.127, 0.356, 0.115)
Ge (0.101, 0.149, 0.633)
O (0.037, 0.080, 0.870)
O (0.067, 0.662, 0.180)
O (0.143, 0.323, 0.293)
O (0.196, 0.196, 0.500)

Output
* total moment: 0.000 μB/f.u.
* raw total energy: -328.4 eV/cell
* volume: 561.6 Å³/cell
* energy relative to the elements, uncorrected: -2809 kJ/mol of formula units

(10)
Crystalline Lu4Ge6Os7 at its relaxed geometry, computed with PBE.

Lattice parameters (Å, degrees): 8.298 8.298 8.298 90.00 90.00 90.00
Space group Im-3m (No. 229)
Inequivalent atoms, fractional coordinates:
Lu (0.250, 0.250, 0.250)
Ge (0.000, 0.000, 0.309)
Os (0.000, 0.000, 0.000)
Os (0.000, 0.250, 0.500)

Output
* total moment: 0.000 μB/f.u.
* raw total energy: -263.7 eV/cell
* volume: 571.5 Å³/cell
* formation energy: -0.439 eV/atom

(11)
Crystalline Lu3Ge13Os4 at its relaxed geometry, computed with PBE.

Lattice parameters (Å, degrees): 9.022 9.022 9.022 90.00 90.00 90.00
Space group Pm-3n (No. 223)
Inequivalent atoms, fractional coordinates:
Lu (0.000, 0.250, 0.500)
Ge (0.000, 0.000, 0.000)
Ge (0.000, 0.300, 0.144)
Os (0.250, 0.250, 0.250)

Output
* total moment: 0.000 μB/f.u.
* raw total energy: -249.5 eV/cell
* volume: 734.3 Å³/cell
* formation energy: -0.313 eV/atom

(12)
Crystalline LuGeOs at its relaxed geometry, computed with PBE.

Lattice parameters (Å, degrees): 4.3543 4.3543 3.3808 90.00 90.00 120.00
Space group P-6m2 (No. 187)
Inequivalent atoms, fractional coordinates:
Lu (0.0000, 0.0000, 0.0000)
Ge (0.3333, 0.6667, 0.5000)
Os (0.6667, 0.3333, 0.5000)

Output
* total moment: 0.000 μB/f.u.
* raw total energy: -21.6 eV/cell
* volume: 55.5 Å³/cell
* formation energy: -0.420 eV/atom

(13)
Crystalline LuScGeOs at its relaxed geometry, computed with PBE.

Lattice parameters (Å, degrees): 6.690 6.690 6.690 90.00 90.00 90.00
Space group F-43m (No. 216)
Inequivalent atoms, fractional coordinates:
Lu (0.000, 0.000, 0.000)
Sc (0.000, 0.000, 0.500)
Ge (0.250, 0.250, 0.250)
Os (0.250, 0.250, 0.750)

Output
* total moment: 0.000 μB/f.u.
* raw total energy: -113.9 eV/cell
* volume: 299.4 Å³/cell
* formation energy: -0.446 eV/atom

(14)
Crystalline Lu2GeP at its relaxed geometry, computed with PBE.

Lattice parameters (Å, degrees): 3.7410 3.7410 26.4147 90.00 90.00 120.00
Space group R-3m (No. 166, hexagonal axes)
Inequivalent atoms, fractional coordinates:
Lu (0.0000, 0.0000, 0.1069)
Ge (0.0000, 0.0000, 0.0000)
P (0.0000, 0.0000, 0.5000)

Output
* total moment: 0.000 μB/f.u.
* raw total energy: -63.9 eV/cell
* volume: 320.1 Å³/cell
* formation energy: -0.560 eV/atom

(15)
Crystalline Lu2PaGe at its relaxed geometry, computed with PBE.

Lattice parameters (Å, degrees): 3.2375 3.2375 32.9035 90.00 90.00 120.00
Space group R-3m (No. 166, hexagonal axes)
Inequivalent atoms, fractional coordinates:
Lu (0.0000, 0.0000, 0.0971)
Pa (0.0000, 0.0000, 0.0000)
Ge (0.0000, 0.0000, 0.5000)

Output
* energy above the most stable polymorph in this dataset: 0.2191 eV/atom
* total moment: 0.000 μB/f.u.
* raw total energy: -68.7 eV/cell
* volume: 298.7 Å³/cell
* formation energy: 0.066 eV/atom

(16)
Crystalline Lu2PaGe at its relaxed geometry, computed with PBE.

Lattice parameters (Å, degrees): 4.604 4.604 4.442 90.00 90.00 90.00
Space group P4/mmm (No. 123)
Inequivalent atoms, fractional coordinates:
Lu (0.000, 0.500, 0.000)
Pa (0.000, 0.000, 0.500)
Ge (0.500, 0.500, 0.500)

Output
* energy above the most stable polymorph in this dataset: 0.0000 eV/atom
* total moment: 0.002 μB/f.u.
* raw total energy: -23.8 eV/cell
* volume: 94.2 Å³/cell
* formation energy: -0.153 eV/atom

(17)
Crystalline LuPaGeRu at its relaxed geometry, computed with PBE.

Lattice parameters (Å, degrees): 6.934 6.934 6.934 90.00 90.00 90.00
Space group F-43m (No. 216)
Inequivalent atoms, fractional coordinates:
Lu (0.000, 0.000, 0.000)
Pa (0.000, 0.000, 0.500)
Ge (0.250, 0.250, 0.750)
Ru (0.250, 0.250, 0.250)

Output
* total moment: 0.000 μB/f.u.
* raw total energy: -117.1 eV/cell
* volume: 333.4 Å³/cell
* formation energy: -0.340 eV/atom

(18)
Crystalline LuPaZnGe at its relaxed geometry, computed with PBE.

Lattice parameters (Å, degrees): 7.028 7.028 7.028 90.00 90.00 90.00
Space group F-43m (No. 216)
Inequivalent atoms, fractional coordinates:
Lu (0.000, 0.000, 0.000)
Pa (0.000, 0.000, 0.500)
Zn (0.250, 0.250, 0.750)
Ge (0.250, 0.250, 0.250)

Output
* total moment: 0.654 μB/f.u.
* raw total energy: -83.7 eV/cell
* volume: 347.1 Å³/cell
* formation energy: -0.254 eV/atom

(19)
Crystalline Lu2GePb at its relaxed geometry, computed with PBE.

Lattice parameters (Å, degrees): 3.401 3.401 8.414 90.00 90.00 90.00
Space group P4/mmm (No. 123)
Inequivalent atoms, fractional coordinates:
Lu (0.000, 0.000, 0.218)
Ge (0.500, 0.500, 0.000)
Pb (0.500, 0.500, 0.500)

Output
* total moment: 0.000 μB/f.u.
* raw total energy: -19.2 eV/cell
* volume: 97.3 Å³/cell
* formation energy: -0.470 eV/atom

(20)
Crystalline LuGePb2 at its relaxed geometry, computed with PBE.

Lattice parameters (Å, degrees): 3.4514 3.4514 34.0408 90.00 90.00 120.00
Space group R-3m (No. 166, hexagonal axes)
Inequivalent atoms, fractional coordinates:
Lu (0.0000, 0.0000, 0.0000)
Ge (0.0000, 0.0000, 0.5000)
Pb (0.0000, 0.0000, 0.0932)

Output
* total moment: 0.000 μB/f.u.
* raw total energy: -46.8 eV/cell
* volume: 351.2 Å³/cell
* formation energy: 0.237 eV/atom